(1)
Below is crystalline Cu3Se4N at its relaxed geometry, with properties calculated at the PBE level.

E_tot in eV per atom: -3.93
Space-group type: I-42m, No. 121
V in Å³/atom: 19.13

Geometry as extended XYZ:
```
8
Lattice="-2.694 2.694 5.273 2.694 -2.694 5.273 2.694 2.694 -5.273" Properties=species:S:1:pos:R:3 pbc="T T T"
Cu 0.000 0.000 0.000
Cu 2.694 0.000 2.637
Cu 0.000 2.694 2.637
Se 1.218 -1.218 4.028
Se 1.475 1.475 1.245
Se -1.218 1.218 4.028
Se 1.218 1.218 6.518
N 0.000 0.000 5.273
```

(2)
Below is crystalline CuSiW4N2 at its relaxed geometry, with properties calculated at the PBE level.

E_tot in eV per atom: -9.52
Space-group type: P-6m2, No. 187
V in Å³/atom: 12.51

Geometry as extended XYZ:
```
8
Lattice="2.826 0.000 0.000 -1.413 2.447 0.000 0.000 0.000 14.478" Properties=species:S:1:pos:R:3 pbc="T T T"
Cu 0.000 0.000 0.000
Si 1.413 0.816 7.239
W 0.000 0.000 5.124
W 0.000 0.000 9.355
W 1.413 0.816 2.207
W 1.413 0.816 12.271
N 0.000 1.631 3.660
N 0.000 1.631 10.819
```

(3)
Below is crystalline Zr4CuSiN2 at its relaxed geometry, with properties calculated at the PBE level.

E_tot in eV per atom: -8.47
Space-group type: P-6m2, No. 187
V in Å³/atom: 15.60

Geometry as extended XYZ:
```
8
Lattice="3.269 0.000 0.000 -1.635 2.831 0.000 0.000 0.000 13.482" Properties=species:S:1:pos:R:3 pbc="T T T"
Zr 0.000 0.000 2.087
Zr 0.000 0.000 11.394
Zr 0.000 1.888 4.656
Zr 0.000 1.888 8.825
Cu 0.000 0.000 6.741
Si 0.000 1.888 0.000
N 1.635 0.944 3.392
N 1.635 0.944 10.090
```

(4)
Below is crystalline Sm3Cu4N4 at its relaxed geometry, with properties calculated at the PBE level.

E_tot in eV per atom: -5.98
Space-group type: P-3m1, No. 164
V in Å³/atom: 13.43

Geometry as extended XYZ:
```
11
Lattice="3.603 0.000 0.000 -1.801 3.120 0.000 0.000 0.000 13.146" Properties=species:S:1:pos:R:3 pbc="T T T"
Sm 0.000 0.000 0.000
Sm 0.000 0.000 3.893
Sm 0.000 0.000 9.253
Cu 0.000 2.080 1.869
Cu 0.000 2.080 7.225
Cu 1.801 1.040 5.921
Cu 1.801 1.040 11.277
N 0.000 2.080 5.080
N 0.000 2.080 11.262
N 1.801 1.040 1.883
N 1.801 1.040 8.066
```